P.
# ScTaP3 | Alexandria | PBE | optimized geometry
# Density of states at the Fermi level = 7.74 states/eV/cell
data_ScTaP3
_chemical_formula_sum 'Sc1 Ta1 P3'
_cell_length_a 4.716
_cell_length_b 4.716
_cell_length_c 4.716
_cell_angle_alpha 90.00
_cell_angle_beta 90.00
_cell_angle_gamma 90.00
_symmetry_space_group_name_H-M 'P m -3 m'
_symmetry_Int_Tables_number 221
_symmetry_space_group_name_Hall '-P 4 2 3'
loop_
_atom_site_label
_atom_site_fract_x
_atom_site_fract_y
_atom_site_fract_z
Sc1 0.000 0.000 0.000
Ta1 0.500 0.500 0.500
P1 0.000 0.000 0.500


Q.
# ScTaP3 | Alexandria | PBE | optimized geometry
# Density of states at the Fermi level = 2.39 states/eV/cell
data_ScTaP3
_chemical_formula_sum 'Sc1 Ta1 P3'
_cell_length_a 4.776
_cell_length_b 4.776
_cell_length_c 4.776
_cell_angle_alpha 90.00
_cell_angle_beta 90.00
_cell_angle_gamma 90.00
_symmetry_space_group_name_H-M 'P m -3 m'
_symmetry_Int_Tables_number 221
_symmetry_space_group_name_Hall '-P 4 2 3'
loop_
_atom_site_label
_atom_site_fract_x
_atom_site_fract_y
_atom_site_fract_z
Sc1 0.000 0.000 0.000
Ta1 0.500 0.500 0.500
P1 0.000 0.500 0.500


Stability verdict: Q, ahead by 989 meV/atom